# 1
Material: Li2Hf2Ga2NiIr
Method: DFT, PBE
State: optimized geometry

Summary:
- Magnetization: 0.06 μB per cell
- Calculated density: 10.66 g/cm³
- Space group: P-4m2
- Calculated total energy: -6.0873 eV/atom

abc: 4.378 4.378 6.183
angles: 90.00 90.00 90.00
Fractional positions:
Li  0.000  0.000  0.000
Li  0.500  0.500  0.500
Hf  0.000  0.500  0.241
Hf  0.500  0.000  0.759
Ga  0.000  0.500  0.756
Ga  0.500  0.000  0.244
Ni  0.500  0.500  0.000
Ir  0.000  0.000  0.500



# 2
Material: Li2Hf2Ga2IrPd
Method: DFT, PBE
State: optimized geometry

Summary:
- Magnetization: 0.00 μB per cell
- Calculated density: 10.78 g/cm³
- Space group: P-4m2
- Calculated total energy: -6.1089 eV/atom

abc: 4.453 4.453 6.283
angles: 90.00 90.00 90.00
Fractional positions:
Li  0.000  0.000  0.000
Li  0.500  0.500  0.500
Hf  0.000  0.500  0.245
Hf  0.500  0.000  0.755
Ga  0.000  0.500  0.753
Ga  0.500  0.000  0.247
Ir  0.500  0.500  0.000
Pd  0.000  0.000  0.500



# 3
Material: Li2Hf2Ga2IrPt
Method: DFT, PBE
State: optimized geometry

Summary:
- Magnetization: 0.04 μB per cell
- Calculated density: 11.97 g/cm³
- Space group: P-4m2
- Calculated total energy: -6.3277 eV/atom

abc: 4.449 4.449 6.291
angles: 90.00 90.00 90.00
Fractional positions:
Li  0.000  0.000  0.000
Li  0.500  0.500  0.500
Hf  0.000  0.500  0.248
Hf  0.500  0.000  0.752
Ga  0.000  0.500  0.756
Ga  0.500  0.000  0.244
Ir  0.500  0.500  0.000
Pt  0.000  0.000  0.500



# 4
Material: Li2Hf2GaSnIr2
Method: DFT, PBE
State: optimized geometry

Summary:
- Magnetization: 0.01 μB per cell
- Calculated density: 12.16 g/cm³
- Space group: P-4m2
- Calculated total energy: -6.7497 eV/atom

abc: 4.493 4.493 6.387
angles: 90.00 90.00 90.00
Fractional positions:
Li  0.000  0.500  0.237
Li  0.500  0.000  0.763
Hf  0.000  0.000  0.000
Hf  0.500  0.500  0.500
Ga  0.500  0.500  0.000
Sn  0.000  0.000  0.500
Ir  0.000  0.500  0.757
Ir  0.500  0.000  0.243



# 5
Material: Li2HfTaGa2Ir2
Method: DFT, PBE
State: optimized geometry

Summary:
- Magnetization: 0.00 μB per cell
- Calculated density: 12.42 g/cm³
- Space group: P-4m2
- Calculated total energy: -6.7941 eV/atom

abc: 4.395 4.395 6.211
angles: 90.00 90.00 90.00
Fractional positions:
Li  0.000  0.500  0.249
Li  0.500  0.000  0.751
Hf  0.500  0.500  0.500
Ta  0.000  0.000  0.000
Ga  0.000  0.000  0.500
Ga  0.500  0.500  0.000
Ir  0.000  0.500  0.761
Ir  0.500  0.000  0.239



# 6
Material: Li2HfZnGa2Ir2
Method: DFT, PBE
State: optimized geometry

Summary:
- Magnetization: 0.00 μB per cell
- Calculated density: 10.99 g/cm³
- Space group: P-4m2
- Calculated total energy: -5.4124 eV/atom

abc: 4.362 4.362 6.204
angles: 90.00 90.00 90.00
Fractional positions:
Li  0.000  0.500  0.217
Li  0.500  0.000  0.783
Hf  0.500  0.500  0.500
Zn  0.000  0.000  0.000
Ga  0.000  0.000  0.500
Ga  0.500  0.500  0.000
Ir  0.000  0.500  0.752
Ir  0.500  0.000  0.248



# 7
Material: Li2HfZrGa2Ir2
Method: DFT, PBE
State: optimized geometry

Summary:
- Magnetization: 0.17 μB per cell
- Calculated density: 10.71 g/cm³
- Space group: P-4m2
- Calculated total energy: -6.4186 eV/atom

abc: 4.457 4.457 6.304
angles: 90.00 90.00 90.00
Fractional positions:
Li  0.000  0.500  0.250
Li  0.500  0.000  0.750
Hf  0.000  0.000  0.000
Zr  0.500  0.500  0.500
Ga  0.000  0.000  0.500
Ga  0.500  0.500  0.000
Ir  0.000  0.500  0.752
Ir  0.500  0.000  0.248



# 8
Material: Hf3Ga3Ni2Ir
Method: DFT, PBE
State: optimized geometry

Summary:
- Magnetization: 0.00 μB per cell
- Calculated density: 12.10 g/cm³
- Space group: P-62m
- Calculated total energy: -7.2171 eV/atom

abc: 7.041 7.041 3.369
angles: 90.00 90.00 120.00
Fractional positions:
Hf  0.000  0.605  0.000
Hf  0.395  0.395  0.000
Hf  0.605  0.000  0.000
Ga  0.000  0.279  0.500
Ga  0.279  0.000  0.500
Ga  0.721  0.721  0.500
Ni  0.333  0.667  0.500
Ni  0.667  0.333  0.500
Ir  0.000  0.000  0.000



# 9
Material: HfScGa2Ir4
Method: DFT, PBE
State: optimized geometry

Summary:
- Magnetization: 0.01 μB per cell
- Calculated density: 13.91 g/cm³
- Space group: P-6m2
- Calculated total energy: -7.8750 eV/atom

abc: 4.251 4.251 8.633
angles: 90.00 90.00 120.00
Fractional positions:
Hf  0.000  0.000  0.000
Sc  0.667  0.333  0.500
Ga  0.333  0.667  0.257
Ga  0.333  0.667  0.743
Ir  0.000  0.000  0.345
Ir  0.000  0.000  0.655
Ir  0.667  0.333  0.152
Ir  0.667  0.333  0.848



# 10
Material: KHf3Ga
Method: DFT, PBE
State: optimized geometry

Summary:
- Magnetization: 1.78 μB per cell
- Calculated density: 9.30 g/cm³
- Space group: Pm-3m
- Calculated total energy: -4.6531 eV/atom

abc: 4.863 4.863 4.863
angles: 90.00 90.00 90.00
Fractional positions:
K  0.000  0.000  0.000
Hf  0.000  0.000  0.500
Hf  0.000  0.500  0.000
Hf  0.500  0.000  0.000
Ga  0.500  0.500  0.500



# 11
Material: KHfGaS3
Method: DFT, PBE
State: optimized geometry

Summary:
- Magnetization: 2.27 μB per cell
- Calculated density: 4.44 g/cm³
- Space group: Cmcm
- Calculated total energy: -5.3101 eV/atom

abc: 7.326 7.326 9.978
angles: 90.00 90.00 147.61
Fractional positions:
K  0.247  0.753  0.750
K  0.753  0.247  0.250
Hf  0.500  0.500  0.000
Hf  0.500  0.500  0.500
Ga  0.026  0.974  0.250
Ga  0.974  0.026  0.750
S  0.119  0.881  0.054
S  0.119  0.881  0.446
S  0.443  0.557  0.250
S  0.557  0.443  0.750
S  0.881  0.119  0.554
S  0.881  0.119  0.946



# 12
Material: KHfGaSe3
Method: DFT, PBE
State: optimized geometry

Summary:
- Magnetization: 0.01 μB per cell
- Calculated density: 4.97 g/cm³
- Space group: Cmcm
- Calculated total energy: -5.0908 eV/atom

abc: 8.340 8.340 11.319
angles: 90.00 90.00 153.60
Fractional positions:
K  0.195  0.805  0.750
K  0.805  0.195  0.250
Hf  0.500  0.500  0.000
Hf  0.500  0.500  0.500
Ga  0.123  0.877  0.250
Ga  0.877  0.123  0.750
Se  0.114  0.886  0.502
Se  0.114  0.886  0.998
Se  0.490  0.510  0.750
Se  0.510  0.490  0.250
Se  0.886  0.114  0.002
Se  0.886  0.114  0.498



# 13
Material: LaHfGa
Method: DFT, PBE
State: optimized geometry

Summary:
- Magnetization: 0.89 μB per cell
- Calculated density: 7.33 g/cm³
- Space group: F-43m
- Calculated total energy: -5.1552 eV/atom

abc: 4.987 4.987 4.987
angles: 60.00 60.00 60.00
Fractional positions:
La  0.000  0.000  0.000
Hf  0.250  0.250  0.250
Ga  0.750  0.750  0.750